<one>
DFT (PBE-GGA) results for In3SiAu after structural relaxation.

Cell: 5.192 5.192 5.192 Å, 90.00 90.00 90.00°
Fractional positions:
Si: 0.000 0.000 0.000
Au: 0.500 0.500 0.500
In: 0.000 0.500 0.000
In: 0.000 0.000 0.500
In: 0.500 0.000 0.000

Results
As for the total magnetic moment: 0.000 μB/atom. The value obtained for the density of states at the Fermi level is 4.2 states/eV/f.u.



<two>
DFT (PBE-GGA) results for In3SiAu after structural relaxation.

Cell: 5.297 5.297 5.297 Å, 90.00 90.00 90.00°
Fractional positions:
Si: 0.500 0.500 0.500
Au: 0.000 0.000 0.000
In: 0.000 0.500 0.000
In: 0.000 0.000 0.500
In: 0.500 0.000 0.000

Results
As for the total magnetic moment: 0.000 μB/atom. The value obtained for the density of states at the Fermi level is 4.0 states/eV/f.u.



Verdict on stability: <two> comes out at the bottom.



<one>
DFT (PBE-GGA) results for SmInAu6 after structural relaxation.

Cell: 5.069 5.336 5.909 Å, 90.00 90.00 90.00°
Fractional positions:
Sm: 0.000 0.654 0.000
In: 0.500 0.356 0.500
Au: 0.500 0.844 0.252
Au: 0.000 0.158 0.741
Au: 0.000 0.158 0.259
Au: 0.500 0.844 0.748
Au: 0.000 0.664 0.500
Au: 0.500 0.322 0.000

Results
As for the total magnetic moment: 0.000 μB/atom. The value obtained for the density of states at the Fermi level is 3.1 states/eV/f.u.



<two>
DFT (PBE-GGA) results for SmInAu6 after structural relaxation.

Cell: 5.477 5.477 5.477 Å, 90.00 90.00 90.00°
Fractional positions:
Sm: 0.500 0.500 0.500
In: 0.000 0.000 0.000
Au: 0.500 0.752 0.000
Au: 0.752 0.000 0.500
Au: 0.000 0.500 0.248
Au: 0.248 0.000 0.500
Au: 0.500 0.248 0.000
Au: 0.000 0.500 0.752

Results
As for the total magnetic moment: 0.000 μB/atom. The value obtained for the density of states at the Fermi level is 1.9 states/eV/f.u.



Verdict on stability: <two> comes out at the bottom.